No. 1
Compound: YGa2Co
Source: Alexandria
Functional: PBE
Structure: optimized geometry

As for the crystal system: tetragonal. The formation energy comes out at -88 meV/atom.

Lattice parameters (Å, degrees): 4.5743 4.5743 16.2504 90.00 90.00 90.00
With the nearest neighbours (Å) after each atom.
Space group I-42d (No. 122)
Unique sites:
Y 0.0000 0.0000 0.0000 x4  4 Ga 3.02, 4 Co 3.23
Ga 0.0815 0.2500 0.6250 x8  2 Co 2.36, 2 Ga 2.41
Co 0.0000 0.0000 0.5000 x4  4 Ga 2.36



No. 2
Compound: YZnGa2Co
Source: Alexandria
Functional: PBE
Structure: optimized geometry

As for the crystal system: tetragonal. The formation energy comes out at -312 meV/atom.

Lattice parameters (Å, degrees): 4.5042 4.5042 4.5739 90.00 90.00 90.00
With the nearest neighbours (Å) after each atom.
Space group P4/mmm (No. 123)
Unique sites:
Y 0.0000 0.0000 0.0000 x1  4 Zn 3.18, 8 Ga 3.21
Zn 0.5000 0.5000 0.0000 x1  2 Co 2.29
Ga 0.0000 0.5000 0.5000 x2  2 Co 2.25
Co 0.5000 0.5000 0.5000 x1  4 Ga 2.25, 2 Zn 2.29



No. 3
Compound: YZnGa2Co2
Source: Alexandria
Functional: PBE
Structure: optimized geometry

As for the crystal system: tetragonal. The formation energy comes out at -60 meV/atom.

Lattice parameters (Å, degrees): 4.3725 4.3725 5.4374 90.00 90.00 90.00
With the nearest neighbours (Å) after each atom.
Space group P4/mmm (No. 123)
Unique sites:
Y 0.0000 0.0000 0.0000 x1  2 Zn 2.72
Zn 0.0000 0.0000 0.5000 x1  4 Co 2.19
Ga 0.5000 0.5000 0.2483 x2  4 Co 2.58, 2 Ga 2.70-2.74
Co 0.0000 0.5000 0.5000 x2  2 Zn 2.19



No. 4
Compound: Y2ZrGaCo
Source: Alexandria
Functional: PBE
Structure: optimized geometry

As for the crystal system: tetragonal. The formation energy comes out at 753 meV/atom.

Lattice parameters (Å, degrees): 5.5278 5.5278 4.4170 90.00 90.00 90.00
With the nearest neighbours (Å) after each atom.
Space group P4/mmm (No. 123)
Unique sites:
Y 0.0000 0.5000 0.0000 x2  2 Zr 2.76
Zr 0.0000 0.0000 0.0000 x1  2 Co 2.21
Ga 0.5000 0.5000 0.5000 x1  8 Y 3.54, 4 Co 3.91
Co 0.0000 0.0000 0.5000 x1  2 Zr 2.21



No. 5
Compound: Yb2Ga9Co3
Source: Alexandria
Functional: PBE
Structure: optimized geometry

As for the crystal system: orthorhombic. The formation energy comes out at -425 meV/atom.

Lattice parameters (Å, degrees): 12.6610 7.3635 9.5390 90.00 90.00 90.00
With the nearest neighbours (Å) after each atom.
Space group Cmcm (No. 63)
Unique sites:
Yb 0.1646 0.1666 0.2500 x8  11 Ga 2.96-3.05
Ga 0.0000 0.1206 0.7500 x4  2 Co 2.54, 6 Ga 2.74
Ga 0.0000 0.3346 0.0582 x8  3 Co 2.53-2.54, 5 Ga 2.68-2.81
Ga 0.1080 0.4434 0.7500 x8  2 Co 2.55, 6 Ga 2.74-2.81
Ga 0.1664 0.1680 0.5694 x16  3 Co 2.49-2.53, 4 Ga 2.72-2.77
Co 0.0000 0.0000 0.0000 x4  8 Ga 2.53-2.54
Co 0.1707 0.5000 0.0000 x8  8 Ga 2.49-2.55



No. 6
Compound: YbGa8Co2
Source: Alexandria
Functional: PBE
Structure: optimized geometry

As for the crystal system: orthorhombic. The formation energy comes out at -363 meV/atom.

Lattice parameters (Å, degrees): 12.4156 14.4078 3.9728 90.00 90.00 90.00
With the nearest neighbours (Å) after each atom.
Space group Pbam (No. 55)
Unique sites:
Yb 0.1560 0.1805 0.0000 x4  13 Ga 3.05-3.36
Ga 0.0000 0.0000 0.0000 x2  2 Co 2.35
Ga 0.0000 0.5000 0.5000 x2  4 Co 2.44, 4 Ga 2.71-2.72
Ga 0.0219 0.8661 0.5000 x4  2 Co 2.62, 7 Ga 2.77-2.82
Ga 0.0497 0.3165 0.5000 x4  2 Co 2.59, 6 Ga 2.61-2.86
Ga 0.1004 0.7451 0.0000 x4  2 Co 2.33-2.36
Ga 0.1617 0.4552 0.0000 x4  3 Co 2.43-2.55
Ga 0.1663 0.6215 0.5000 x4  5 Ga 2.59-2.83, 2 Co 2.61
Ga 0.1695 0.0109 0.5000 x4  2 Co 2.53, 3 Ga 2.59-2.84
Ga 0.2399 0.8235 0.5000 x4  2 Co 2.54, 3 Ga 2.61-2.84
Co 0.0337 0.5936 0.0000 x4  9 Ga 2.33-2.61
Co 0.1524 0.9027 0.0000 x4  9 Ga 2.35-2.62



No. 7
Compound: ZnGa2Co
Source: Alexandria
Functional: PBE
Structure: optimized geometry

As for the crystal system: trigonal. The formation energy comes out at 351 meV/atom.

Lattice parameters (Å, degrees): 4.1513 4.1513 17.6704 90.00 90.00 120.00
With the nearest neighbours (Å) after each atom.
Space group R-3m (No. 166, hexagonal axes)
Unique sites:
Zn 0.0000 0.0000 0.0000 x3  2 Ga 2.48
Ga 0.0000 0.0000 0.1404 x6  3 Co 2.44, 1 Zn 2.48, 3 Ga 2.57
Co 0.0000 0.0000 0.5000 x3  6 Ga 2.44



No. 8
Compound: Zn3GaCo
Source: Alexandria
Functional: PBE
Structure: optimized geometry

The value obtained for the energy above the most stable polymorph in this dataset is 0.00 eV per formula unit. As for the crystal system: cubic. The formation energy comes out at 346 meV/atom.

Lattice parameters (Å, degrees): 4.5878 4.5878 4.5878 90.00 90.00 90.00
With the nearest neighbours (Å) after each atom.
Space group Pm-3m (No. 221)
Unique sites:
Zn 0.0000 0.0000 0.5000 x3  2 Co 2.29
Ga 0.5000 0.5000 0.5000 x1  12 Zn 3.24
Co 0.0000 0.0000 0.0000 x1  6 Zn 2.29



No. 9
Compound: ZnGa3Co
Source: Alexandria
Functional: PBE
Structure: optimized geometry

The value obtained for the energy above the most stable polymorph in this dataset is 0.02 eV per formula unit. As for the crystal system: cubic. The formation energy comes out at -7 meV/atom.

Lattice parameters (Å, degrees): 4.5831 4.5831 4.5831 90.00 90.00 90.00
With the nearest neighbours (Å) after each atom.
Space group Pm-3m (No. 221)
Unique sites:
Zn 0.0000 0.0000 0.0000 x1  12 Ga 3.24
Ga 0.0000 0.5000 0.5000 x3  2 Co 2.29
Co 0.5000 0.5000 0.5000 x1  6 Ga 2.29



No. 10
Compound: ZnGaCo
Source: Alexandria
Functional: PBE
Structure: optimized geometry

As for the crystal system: cubic. The formation energy comes out at 22 meV/atom.

Lattice parameters (Å, degrees): 5.6577 5.6577 5.6577 90.00 90.00 90.00
With the nearest neighbours (Å) after each atom.
Space group F-43m (No. 216)
Unique sites:
Zn 0.0000 0.0000 0.0000 x4  4 Co 2.45
Ga 0.0000 0.0000 0.5000 x4  4 Co 2.45
Co 0.2500 0.2500 0.7500 x4  4 Zn 2.45, 4 Ga 2.45



No. 11
Compound: Zn2GaCo2
Source: Alexandria
Functional: PBE
Structure: optimized geometry

The value obtained for the energy above the most stable polymorph in this dataset is 0.39 eV per formula unit. As for the crystal system: triclinic. The formation energy comes out at 5 meV/atom.

Lattice parameters (Å, degrees): 3.9436 4.6323 4.9035 97.00 113.38 115.16
With the nearest neighbours (Å) after each atom.
Space group P-1 (No. 2)
Unique sites:
Zn 0.1529 0.2952 0.0088 x2  3 Zn 2.45-2.64, 3 Co 2.50-2.62, 1 Ga 2.71
Ga 0.0000 0.5000 0.5000 x1  6 Co 2.47-2.70, 2 Zn 2.71
Co 0.3437 0.1563 0.5320 x2  2 Co 2.33, 2 Ga 2.47-2.48, 2 Zn 2.50-2.51



No. 12
Compound: ZnGaCo2
Source: Alexandria
Functional: PBE
Structure: optimized geometry

As for the crystal system: cubic. The formation energy comes out at -170 meV/atom.

Lattice parameters (Å, degrees): 5.7484 5.7484 5.7484 90.00 90.00 90.00
With the nearest neighbours (Å) after each atom.
Space group Fm-3m (No. 225)
Unique sites:
Zn 0.0000 0.0000 0.0000 x4  8 Co 2.49
Ga 0.0000 0.0000 0.5000 x4  8 Co 2.49
Co 0.2500 0.2500 0.2500 x8  4 Zn 2.49, 4 Ga 2.49



Which value of formation energy does entry 2 give?
-312 meV/atom